Here is YRu2W at its PBEsol-relaxed geometry from Alexandria via LeMat-Bulk. Energies are from meta-GGA SCAN.

The structure in CIF format:
```
data_YRu2W
_cell_length_a 3.2005
_cell_length_b 3.2005
_cell_length_c 6.6643
_cell_angle_alpha 90.00
_cell_angle_beta 90.00
_cell_angle_gamma 90.00
_space_group_name_H-M_alt 'P 1'
_space_group_IT_number 1
_space_group_name_Hall 'P 1'
loop_
_atom_site_label
_atom_site_type_symbol
_atom_site_fract_x
_atom_site_fract_y
_atom_site_fract_z
Ru1 Ru 0.0000 0.0000 0.0259
Ru2 Ru 0.5000 0.5000 0.2639
W1 W 0.0000 0.0000 0.4445
Y1 Y 0.5000 0.5000 0.7658
```

Computed properties:
Total magnetic moment, μB/atom: 0.000
Final energy, eV/cell: -165.83
Offset from the most stable computed form, eV per atom: 0.476
DFT formation energy, eV/atom: 0.34
Calculated volume, Å³/f.u.: 68.26